DFT (PBEsol) results for a geometry-optimized Mo2P3O12 structure.

Cell: 8.8756 8.8756 8.8756 Å, 58.41 58.41 58.41°
Fractional coordinates of all 34 atoms:
Mo 0.1421 0.1421 0.1421
Mo 0.3579 0.3579 0.3579
Mo 0.6421 0.6421 0.6421
Mo 0.8579 0.8579 0.8579
P 0.0335 0.7500 0.4665
P 0.2500 0.5335 0.9665
P 0.4665 0.0335 0.7500
P 0.5335 0.9665 0.2500
P 0.7500 0.4665 0.0335
P 0.9665 0.2500 0.5335
O 0.0047 0.7763 0.6385
O 0.0613 0.9231 0.2895
O 0.0769 0.7105 0.9387
O 0.1385 0.2763 0.5047
O 0.2105 0.5769 0.4387
O 0.2237 0.3615 0.9953
O 0.2763 0.5047 0.1385
O 0.2895 0.0613 0.9231
O 0.3615 0.9953 0.2237
O 0.4231 0.5613 0.7895
O 0.4387 0.2105 0.5769
O 0.4953 0.8615 0.7237
O 0.5047 0.1385 0.2763
O 0.5613 0.7895 0.4231
O 0.5769 0.4387 0.2105
O 0.6385 0.0047 0.7763
O 0.7105 0.9387 0.0769
O 0.7237 0.4953 0.8615
O 0.7763 0.6385 0.0047
O 0.7895 0.4231 0.5613
O 0.8615 0.7237 0.4953
O 0.9231 0.2895 0.0613
O 0.9387 0.0769 0.7105
O 0.9953 0.2237 0.3615

Output
Calculated volume, A^3/atom: 14.01
D(E_F), states/eV per atom: 0.307
Formation energy (no corrections), eV/atom: -2.07
Excess energy over the best structure of this formula in the dataset, eV per atom: 0.016
Size of the total moment, μB/cell: 6.00
Density, Mg/m³: 3.32
Uncorrected energy, eV/atom: -8.18

---

DFT (PBEsol) results for a geometry-optimized YH2NCl structure.

Cell: 3.5222 3.5222 5.2594 Å, 90.00 90.00 90.00°
Fractional coordinates of all 5 atoms:
Y 0.0000 0.0000 0.0000
H 0.0000 0.5000 0.5000
H 0.5000 0.0000 0.5000
N 0.5000 0.5000 0.5000
Cl 0.5000 0.5000 0.0000

Output
Calculated volume, A^3/atom: 13.05
D(E_F), states/eV per atom: 0.333
Size of the total moment, μB/cell: 0.40
Density, Mg/m³: 3.57
Uncorrected energy, eV/atom: -4.26

---

DFT (PBEsol) results for a geometry-optimized NbGaOF2 structure.

Cell: 4.3057 4.3057 3.9614 Å, 90.00 90.00 90.00°
Fractional coordinates of all 5 atoms:
Nb 0.0000 0.0000 0.0000
Ga 0.5000 0.5000 0.5000
O 0.0000 0.0000 0.5000
F 0.0000 0.5000 0.0000
F 0.5000 0.0000 0.0000

Output
Calculated volume, A^3/atom: 14.69
D(E_F), states/eV per atom: 0.368
Formation energy (no corrections), eV/atom: -1.78
Size of the total moment, μB/cell: 1.77
Density, Mg/m³: 4.90
Uncorrected energy, eV/atom: -6.43

---

DFT (PBEsol) results for a geometry-optimized Al2TeC structure.

Cell: 6.2988 6.2988 6.2988 Å, 128.69 128.69 75.51°
Fractional coordinates of all 8 atoms:
Al 0.0090 0.6250 0.8840
Al 0.3750 0.2590 0.3840
Al 0.7410 0.1250 0.1160
Al 0.8750 0.9910 0.6160
Te 0.2500 0.7500 0.5000
Te 0.5000 0.5000 0.0000
C 0.0000 0.0000 0.0000
C 0.7500 0.2500 0.5000

Output
Calculated volume, A^3/atom: 18.52
Formation energy (no corrections), eV/atom: -0.14
Size of the total moment, μB/cell: 0.00
Density, Mg/m³: 4.34
Uncorrected energy, eV/atom: -5.48

---

DFT (PBEsol) results for a geometry-optimized Y6CoI10 structure.

Cell: 7.5066 9.3506 9.4638 Å, 107.36 97.00 104.67°
Fractional coordinates of all 17 atoms:
Y 0.0319 0.2258 0.4192
Y 0.1143 0.5412 0.2584
Y 0.3506 0.6245 0.6650
Y 0.6494 0.3755 0.3350
Y 0.8857 0.4588 0.7416
Y 0.9681 0.7742 0.5808
Co 0.0000 0.5000 0.5000
I 0.0871 0.8754 0.3171
I 0.2191 0.2363 0.1475
I 0.2662 0.5906 0.9669
I 0.3549 0.9587 0.7764
I 0.4517 0.3080 0.5937
I 0.5483 0.6920 0.4063
I 0.6451 0.0413 0.2236
I 0.7338 0.4094 0.0331
I 0.7809 0.7637 0.8525
I 0.9129 0.1246 0.6829

Output
Calculated volume, A^3/atom: 35.24
D(E_F), states/eV per atom: 0.441
Formation energy (no corrections), eV/atom: -1.21
Size of the total moment, μB/cell: 0.85
Density, Mg/m³: 5.16
Uncorrected energy, eV/atom: -5.11

---

DFT (PBEsol) results for a geometry-optimized SrMo2Os structure.

Cell: 5.5526 5.5526 2.6637 Å, 90.00 90.00 121.24°
Fractional coordinates of all 4 atoms:
Sr 0.0000 0.0000 0.0000
Mo 0.0000 0.5000 0.5000
Mo 0.5000 0.0000 0.5000
Os 0.5000 0.5000 0.0000

Output
Calculated volume, A^3/atom: 17.55
D(E_F), states/eV per atom: 0.953
Excess energy over the best structure of this formula in the dataset, eV per atom: 0.000
Size of the total moment, μB/cell: 0.00
Density, Mg/m³: 11.11
Uncorrected energy, eV/atom: -8.26

---

DFT (PBEsol) results for a geometry-optimized YBe2Tc structure.

Cell: 4.3210 4.3210 3.0978 Å, 90.00 90.00 103.97°
Fractional coordinates of all 4 atoms:
Y 0.0000 0.0000 0.0000
Be 0.0000 0.5000 0.5000
Be 0.5000 0.0000 0.5000
Tc 0.5000 0.5000 0.0000

Output
Calculated volume, A^3/atom: 14.03
D(E_F), states/eV per atom: 0.699
Excess energy over the best structure of this formula in the dataset, eV per atom: 0.178
Size of the total moment, μB/cell: 0.00
Density, Mg/m³: 6.06
Uncorrected energy, eV/atom: -6.22

---

DFT (PBEsol) results for a geometry-optimized AlFeSi4 structure.

Cell: 4.9147 4.9147 4.9147 Å, 60.00 60.00 60.00°
Fractional coordinates of all 6 atoms:
Al 0.0000 0.0000 0.0000
Fe 0.2500 0.2500 0.2500
Si 0.1264 0.6245 0.6245
Si 0.6245 0.1264 0.6245
Si 0.6245 0.6245 0.1264
Si 0.6245 0.6245 0.6245

Output
Calculated volume, A^3/atom: 13.99
D(E_F), states/eV per atom: 0.701
Formation energy (no corrections), eV/atom: 0.42
Size of the total moment, μB/cell: 2.87
Density, Mg/m³: 3.86
Uncorrected energy, eV/atom: -5.59

---

DFT (PBEsol) results for a geometry-optimized ZnBMo3 structure.

Cell: 4.1395 4.1395 4.1395 Å, 90.00 90.00 90.00°
Fractional coordinates of all 5 atoms:
Zn 0.0000 0.0000 0.0000
B 0.5000 0.5000 0.5000
Mo 0.0000 0.5000 0.5000
Mo 0.5000 0.0000 0.5000
Mo 0.5000 0.5000 0.0000

Output
Calculated volume, A^3/atom: 14.19
D(E_F), states/eV per atom: 0.975
Excess energy over the best structure of this formula in the dataset, eV per atom: 0.000
Size of the total moment, μB/cell: 0.00
Density, Mg/m³: 8.52
Uncorrected energy, eV/atom: -8.46

---

DFT (PBEsol) results for a geometry-optimized BaSbH structure.

Cell: 5.3800 5.4710 6.4474 Å, 90.07 90.05 119.38°
Fractional coordinates of all 6 atoms:
Ba 0.0000 0.0000 0.0000
Ba 0.3384 0.6780 0.4966
Sb 0.6707 0.3417 0.7383
Sb 0.6713 0.3438 0.2721
H 0.3270 0.6713 0.0566
H 0.4139 0.8339 0.0922

Output
Calculated volume, A^3/atom: 27.56
Size of the total moment, μB/cell: 0.00
Density, Mg/m³: 5.22
Uncorrected energy, eV/atom: -3.99

---

DFT (PBEsol) results for a geometry-optimized PtW2Se structure.

Cell: 2.8623 4.1028 5.5258 Å, 90.00 104.26 90.00°
Fractional coordinates of all 4 atoms:
Pt 0.0000 0.0000 0.0000
W 0.4115 0.5000 0.7516
W 0.5885 0.5000 0.2484
Se 0.5000 0.0000 0.5000

Output
Calculated volume, A^3/atom: 15.72
D(E_F), states/eV per atom: 0.796
Formation energy (no corrections), eV/atom: 0.33
Size of the total moment, μB/cell: 0.00
Density, Mg/m³: 16.94
Uncorrected energy, eV/atom: -9.27

---

DFT (PBEsol) results for a geometry-optimized Hf2Pd structure.

Cell: 5.7739 5.7739 5.7739 Å, 147.28 147.28 46.95°
Fractional coordinates of all 3 atoms:
Hf 0.1578 0.1578 0.0000
Hf 0.8422 0.8422 0.0000
Pd 0.5000 0.5000 0.0000

Output
Calculated volume, A^3/atom: 18.68
D(E_F), states/eV per atom: 0.581
Size of the total moment, μB/cell: 0.00
Density, Mg/m³: 13.73
Uncorrected energy, eV/atom: -9.52